1.
{"formula": "Pr4Te2SN2", "functional": "GGA-PBE", "state": "relaxed", "magnetic_moment_mub_per_fu": 0.00, "e_form_raw_kj_per_mol_atoms": -153.5, "lattice": [[7.897, -2.077, 0.000], [7.897, 2.077, 0.000], [-2.423, 0.000, 7.217]], "species": ["Pr", "Pr", "Pr", "Pr", "Te", "Te", "S", "N", "N"], "frac_coords": [[0.038, 0.038, 0.268], [0.290, 0.290, 0.346], [0.710, 0.710, 0.654], [0.962, 0.962, 0.732], [0.370, 0.370, 0.964], [0.630, 0.630, 0.036], [0.500, 0.500, 0.500], [0.173, 0.173, 0.483], [0.827, 0.827, 0.517]]}

=====

2.
{"formula": "Pr4TeS2N", "functional": "GGA-PBE", "state": "relaxed", "magnetic_moment_mub_per_fu": 0.00, "e_form_raw_kj_per_mol_atoms": -135.6, "lattice": [[-3.696, 3.696, 4.119], [3.696, -3.696, 4.119], [3.696, 3.696, -4.119]], "species": ["Pr", "Pr", "Pr", "Pr", "Te", "S", "S", "N"], "frac_coords": [[0.153, 0.153, 0.627], [0.474, 0.847, 0.000], [0.526, 0.526, 0.373], [0.847, 0.474, 0.000], [0.000, 0.000, 0.000], [0.250, 0.750, 0.500], [0.750, 0.250, 0.500], [0.500, 0.500, 0.000]]}

=====

3.
{"formula": "PrUSN2", "functional": "GGA-PBE", "state": "relaxed", "magnetic_moment_mub_per_fu": 1.00, "e_form_raw_kj_per_mol_atoms": -144.1, "lattice": [[-1.918, 1.918, 6.161], [1.918, -1.918, 6.161], [1.918, 1.918, -6.161]], "species": ["Pr", "U", "S", "N", "N"], "frac_coords": [[0.000, 0.000, 0.000], [0.303, 0.303, 0.000], [0.648, 0.648, 0.000], [0.383, 0.883, 0.500], [0.883, 0.383, 0.500]]}

=====

4.
{"formula": "PrYSN", "functional": "GGA-PBE", "state": "relaxed", "magnetic_moment_mub_per_fu": 0.00, "e_form_raw_kj_per_mol_atoms": -170.4, "lattice": [[1.856, 1.072, 6.496], [-1.856, 1.072, 6.496], [0.000, -2.144, 6.496]], "species": ["Pr", "Y", "S", "N"], "frac_coords": [[0.000, 0.000, 0.000], [0.526, 0.526, 0.526], [0.768, 0.768, 0.768], [0.256, 0.256, 0.256]]}

=====

5.
{"formula": "Pr2ZrS2N2", "functional": "GGA-PBE", "state": "relaxed", "magnetic_moment_mub_per_fu": 0.00, "e_form_raw_kj_per_mol_atoms": -164.5, "lattice": [[-2.137, 2.137, 7.302], [2.137, -2.137, 7.302], [2.137, 2.137, -7.302]], "species": ["Pr", "Pr", "Zr", "S", "S", "N", "N"], "frac_coords": [[0.119, 0.119, 0.000], [0.881, 0.881, 0.000], [0.500, 0.500, 0.000], [0.320, 0.320, 0.000], [0.680, 0.680, 0.000], [0.000, 0.500, 0.500], [0.500, 0.000, 0.500]]}

=====

6.
{"formula": "PrSbN", "functional": "GGA-PBE", "state": "relaxed", "magnetic_moment_mub_per_fu": 0.00, "e_form_raw_kj_per_mol_atoms": -5.6, "lattice": [[-2.290, 2.290, 3.900], [2.290, -2.290, 3.900], [2.290, 2.290, -3.900]], "species": ["Pr", "Sb", "N"], "frac_coords": [[0.000, 0.000, 0.000], [0.462, 0.462, 0.000], [0.721, 0.721, 0.000]]}

=====

7.
{"formula": "Pr5Sb4N", "functional": "GGA-PBE", "state": "relaxed", "magnetic_moment_mub_per_fu": 0.00, "e_form_raw_kj_per_mol_atoms": -102.2, "lattice": [[-4.888, 4.888, 3.206], [4.888, -4.888, 3.206], [4.888, 4.888, -3.206]], "species": ["Pr", "Pr", "Pr", "Pr", "Pr", "Sb", "Sb", "Sb", "Sb", "N"], "frac_coords": [[0.000, 0.000, 0.000], [0.309, 0.669, 0.829], [0.480, 0.309, 0.639], [0.669, 0.840, 0.361], [0.840, 0.480, 0.171], [0.166, 0.384, 0.394], [0.384, 0.990, 0.218], [0.772, 0.166, 0.782], [0.990, 0.772, 0.606], [0.639, 0.639, 0.000]]}

=====

8.
{"formula": "Pr6Sb2N", "functional": "GGA-PBE", "state": "relaxed", "magnetic_moment_mub_per_fu": 1.34, "e_form_raw_kj_per_mol_atoms": -57.1, "lattice": [[4.037, 0.000, 0.000], [0.000, 7.287, 4.342], [0.000, -7.287, 4.342]], "species": ["Pr", "Pr", "Pr", "Pr", "Pr", "Pr", "Sb", "Sb", "N"], "frac_coords": [[0.000, 0.000, 0.000], [0.000, 0.534, 0.749], [0.000, 0.749, 0.534], [0.500, 0.158, 0.755], [0.500, 0.332, 0.332], [0.500, 0.755, 0.158], [0.000, 0.081, 0.427], [0.000, 0.427, 0.081], [0.500, 0.833, 0.833]]}

=====

9.
{"formula": "Pr4Sb2N", "functional": "GGA-PBE", "state": "relaxed", "magnetic_moment_mub_per_fu": 0.00, "e_form_raw_kj_per_mol_atoms": -94.3, "lattice": [[6.214, -2.060, 0.000], [6.214, 2.060, 0.000], [-3.641, 0.000, 7.600]], "species": ["Pr", "Pr", "Pr", "Pr", "Sb", "Sb", "N"], "frac_coords": [[0.057, 0.057, 0.326], [0.353, 0.353, 0.941], [0.647, 0.647, 0.059], [0.943, 0.943, 0.674], [0.344, 0.344, 0.324], [0.656, 0.656, 0.676], [0.000, 0.000, 0.000]]}

=====

10.
{"formula": "Pr7Sb2N2", "functional": "GGA-PBE", "state": "relaxed", "magnetic_moment_mub_per_fu": 0.00, "e_form_raw_kj_per_mol_atoms": -65.7, "lattice": [[-1.784, 8.176, 5.184], [1.784, -8.176, 5.184], [1.784, 8.176, -5.184]], "species": ["Pr", "Pr", "Pr", "Pr", "Pr", "Pr", "Pr", "Sb", "Sb", "N", "N"], "frac_coords": [[0.000, 0.000, 0.000], [0.288, 0.424, 0.864], [0.302, 0.618, 0.684], [0.560, 0.424, 0.136], [0.622, 0.286, 0.336], [0.934, 0.618, 0.316], [0.950, 0.286, 0.664], [0.262, 0.762, 0.500], [0.680, 0.680, 0.000], [0.118, 0.849, 0.270], [0.579, 0.849, 0.730]]}

=====

11.
{"formula": "Pr4Sb2N", "functional": "GGA-PBE", "state": "relaxed", "magnetic_moment_mub_per_fu": 0.00, "e_form_raw_kj_per_mol_atoms": -98.3, "lattice": [[-2.439, 2.439, 8.425], [2.439, -2.439, 8.425], [2.439, 2.439, -8.425]], "species": ["Pr", "Pr", "Pr", "Pr", "Sb", "Sb", "N"], "frac_coords": [[0.000, 0.500, 0.500], [0.166, 0.166, 0.000], [0.500, 0.000, 0.500], [0.834, 0.834, 0.000], [0.358, 0.358, 0.000], [0.642, 0.642, 0.000], [0.000, 0.000, 0.000]]}

=====

12.
{"formula": "Pr5Sb2N2", "functional": "GGA-PBE", "state": "relaxed", "magnetic_moment_mub_per_fu": 0.00, "e_form_raw_kj_per_mol_atoms": -94.5, "lattice": [[6.741, -2.614, 0.000], [6.741, 2.614, 0.000], [-2.059, 0.000, 7.065]], "species": ["Pr", "Pr", "Pr", "Pr", "Pr", "Sb", "Sb", "N", "N"], "frac_coords": [[0.000, 0.000, 0.000], [0.155, 0.155, 0.574], [0.336, 0.336, 0.081], [0.664, 0.664, 0.919], [0.845, 0.845, 0.426], [0.408, 0.408, 0.693], [0.592, 0.592, 0.307], [0.162, 0.162, 0.889], [0.838, 0.838, 0.111]]}